[1]
First-principles (meta-GGA SCAN) data for a crystal of La2InPb relaxed with PBEsol, as listed in the Alexandria database.

Output
DFT total energy = -198.37 eV per cell
formation energy from the elements = -0.748 eV/atom

Cell lengths 3.5668, 5.8155, 5.8155 Å; angles 103.17, 90.00, 90.00 degrees
Last column: nearest neighbours and their distance in Å.
Element x y z (fractional)
1 La 0.0000 0.0000 0.5000  4 In 3.41, 4 Pb 3.41, 4 La 3.57-3.61
2 Pb 0.5000 0.0000 0.0000  8 La 3.41, 2 Pb 3.57, 2 In 3.61
3 In 0.5000 0.5000 0.5000  8 La 3.41, 2 In 3.57, 2 Pb 3.61
4 La 0.0000 0.5000 0.0000  4 Pb 3.41, 4 In 3.41, 4 La 3.57-3.61

[2]
First-principles (meta-GGA SCAN) data for a crystal of La2InPb relaxed with PBEsol, as listed in the Alexandria database.

Output
DFT total energy = -196.99 eV per cell
formation energy from the elements = -0.403 eV/atom

Cell lengths 4.2433, 4.2433, 6.6426 Å; angles 90.00, 90.00, 90.00 degrees
Last column: nearest neighbours and their distance in Å.
Element x y z (fractional)
1 La 0.5000 0.5000 0.2527  2 In 3.27-3.37, 4 Pb 3.44, 4 La 3.45
2 Pb 0.0000 0.0000 0.5061  6 La 3.26-3.44, 4 In 3.39
3 In 0.5000 0.5000 0.7447  6 La 3.27-3.44, 4 Pb 3.39
4 La 0.0000 0.0000 0.9965  2 Pb 3.26-3.39, 4 In 3.44, 4 La 3.45

[3]
First-principles (meta-GGA SCAN) data for a crystal of LaIn2Pb relaxed with PBEsol, as listed in the Alexandria database.

Output
DFT total energy = -187.18 eV per cell
formation energy from the elements = -0.379 eV/atom

Cell lengths 3.9354, 3.9354, 7.1623 Å; angles 90.00, 90.00, 90.00 degrees
Last column: nearest neighbours and their distance in Å.
Element x y z (fractional)
1 In 0.0000 0.0000 0.2777  1 In 3.18, 4 Pb 3.21, 4 La 3.42
2 La 0.5000 0.5000 0.0000  8 In 3.42, 2 Pb 3.58
3 Pb 0.5000 0.5000 0.5000  8 In 3.21, 2 La 3.58
4 In 0.0000 0.0000 0.7223  1 In 3.18, 4 Pb 3.21, 4 La 3.42

[4]
First-principles (meta-GGA SCAN) data for a crystal of La2InPb relaxed with PBEsol, as listed in the Alexandria database.

Output
DFT total energy = -196.52 eV per cell
formation energy from the elements = -0.284 eV/atom

Cell lengths 3.6638, 3.6638, 9.1919 Å; angles 90.00, 90.00, 90.00 degrees
Last column: nearest neighbours and their distance in Å.
Element x y z (fractional)
1 La 0.0000 0.0000 0.9634  4 In 3.37, 4 La 3.66
2 La 0.5000 0.5000 0.2785  4 Pb 3.46, 4 La 3.66
3 In 0.5000 0.5000 0.7295  4 Pb 3.18, 4 La 3.37
4 Pb 0.0000 0.0000 0.5286  4 In 3.18, 4 La 3.46

[5]
First-principles (meta-GGA SCAN) data for a crystal of LaIn2Pb relaxed with PBEsol, as listed in the Alexandria database.

Output
DFT total energy = -187.72 eV per cell
formation energy from the elements = -0.516 eV/atom

Cell lengths 4.6210, 4.6270, 6.0463 Å; angles 112.50, 112.47, 90.00 degrees
Last column: nearest neighbours and their distance in Å.
Element x y z (fractional)
1 In 0.0052 0.0052 0.0103  4 La 3.27, 4 In 3.39-3.49, 4 Pb 3.40-3.48
2 La 0.4969 0.4969 0.9938  8 In 3.27-3.45, 4 Pb 3.42-3.46
3 Pb 0.2495 0.7495 0.4989  8 In 3.27-3.48, 4 La 3.42-3.46
4 In 0.7485 0.2485 0.4970  4 Pb 3.27, 4 In 3.39-3.49, 4 La 3.42-3.45

[6]
First-principles (meta-GGA SCAN) data for a crystal of La2InPb relaxed with PBEsol, as listed in the Alexandria database.

Output
DFT total energy = -198.16 eV per cell
formation energy from the elements = -0.696 eV/atom

Cell lengths 4.6873, 4.6873, 6.2738 Å; angles 111.94, 111.94, 90.00 degrees
Last column: nearest neighbours and their distance in Å.
Element x y z (fractional)
1 La 0.0000 0.0000 0.0000  4 Pb 3.31, 4 In 3.55, 4 La 3.55
2 Pb 0.5000 0.5000 0.0000  8 La 3.31-3.55, 4 In 3.55
3 In 0.2500 0.7500 0.5000  8 La 3.31-3.55, 4 Pb 3.55
4 La 0.7500 0.2500 0.5000  4 In 3.31, 4 La 3.55, 4 Pb 3.55